Crystalline K5MnO5 at its relaxed geometry. Source: Alexandria via LeMat-Bulk, functional PBE+U.

Output
Density of states at the Fermi level   6.17 states/eV/cell
Mass density   2.6 g/cm3
Uncorrected energy   -49.94 eV/f.u.
Total magnetic moment   4.07 μB per formula unit

Lattice parameters (Å, degrees): 11.9156 5.2393 7.1286 90.00 108.97 90.00
Last column: nearest neighbours and their distance in Å.
Space group C2/m (No. 12)
Unique sites:
1 K 0.0000 0.0000 0.0000 [2 per cell]  4 O 2.57-2.63
2 K 0.1697 0.5000 0.3460 [4 per cell]  5 O 2.60-2.77
3 K 0.1855 0.5000 0.8029 [4 per cell]  3 O 2.54-2.71
4 Mn 0.0000 0.0000 0.5000 [2 per cell]  4 O 1.94-1.96
5 O 0.0000 0.5000 0.5000 [2 per cell]  4 K 2.54-2.60, 2 Mn 2.62
6 O 0.1201 0.0000 0.3712 [4 per cell]  1 Mn 1.94
7 O 0.1258 0.0000 0.7582 [4 per cell]  1 Mn 1.96